# K2Al2O3F2 | Alexandria | PBEsol | optimized geometry
# Total energy ... -6.21 eV per atom
# Space group ... C2/m (12)
# Density of states at the Fermi level ... 0.00 states/eV/cell
# Formation energy from raw total energies ... -2.88 eV per atom
data_K2Al2O3F2
_chemical_formula_sum 'K4 Al4 O6 F4'
_cell_length_a 6.960
_cell_length_b 6.960
_cell_length_c 6.088
_cell_angle_alpha 91.43
_cell_angle_beta 91.43
_cell_angle_gamma 71.76
_space_group_name_H-M_alt 'P 1'
_space_group_IT_number 1
_space_group_name_Hall 'P 1'
loop_
_atom_site_label
_atom_site_type_symbol
_atom_site_fract_x
_atom_site_fract_y
_atom_site_fract_z
_atom_site_occupancy
K1 K 0.101 0.101 0.244 1
K2 K 0.337 0.337 0.832 1
K3 K 0.663 0.663 0.168 1
K4 K 0.899 0.899 0.756 1
Al1 Al 0.172 0.576 0.353 1
Al2 Al 0.424 0.828 0.647 1
Al3 Al 0.576 0.172 0.353 1
Al4 Al 0.828 0.424 0.647 1
O1 O 0.000 0.500 0.500 1
O2 O 0.234 0.766 0.500 1
O3 O 0.377 0.377 0.263 1
O4 O 0.500 0.000 0.500 1
O5 O 0.623 0.623 0.737 1
O6 O 0.766 0.234 0.500 1
F1 F 0.050 0.685 0.110 1
F2 F 0.315 0.950 0.890 1
F3 F 0.685 0.050 0.110 1
F4 F 0.950 0.315 0.890 1